## i
A plane-wave DFT calculation with PBE was carried out for a relaxed CdOsNF2 crystal.

Computed properties:
DOS(E_F) = 0.926 states/eV/atom

Unit cell a=4.3779 b=4.3779 c=3.7563 alpha=90.00 beta=90.00 gamma=90.00
Space group P4/mmm (No. 123)
Asymmetric unit:
1 Cd 0.0000 0.0000 0.0000 (multiplicity 1)
2 Os 0.5000 0.5000 0.5000 (multiplicity 1)
3 N 0.5000 0.5000 0.0000 (multiplicity 1)
4 F 0.0000 0.5000 0.5000 (multiplicity 2)



## ii
A plane-wave DFT calculation with PBE was carried out for a relaxed CdOsNF2 crystal.

Computed properties:
DOS(E_F) = 0.771 states/eV/atom

Unit cell a=4.1461 b=4.1461 c=4.6271 alpha=90.00 beta=90.00 gamma=90.00
Space group P4/mmm (No. 123)
Asymmetric unit:
1 Cd 0.0000 0.0000 0.0000 (multiplicity 1)
2 Os 0.5000 0.5000 0.5000 (multiplicity 1)
3 N 0.0000 0.0000 0.5000 (multiplicity 1)
4 F 0.0000 0.5000 0.0000 (multiplicity 2)



Stability ranking, top entry: i; the second entry is 1196 meV per atom less favorable.



## i
A plane-wave DFT calculation with PBE was carried out for a relaxed CdPNF2 crystal.

Computed properties:
DOS(E_F) = 0.414 states/eV/atom

Unit cell a=4.6113 b=4.6113 c=3.2686 alpha=90.00 beta=90.00 gamma=90.00
Space group P4/mmm (No. 123)
Asymmetric unit:
1 Cd 0.0000 0.0000 0.0000 (multiplicity 1)
2 P 0.5000 0.5000 0.5000 (multiplicity 1)
3 N 0.5000 0.5000 0.0000 (multiplicity 1)
4 F 0.0000 0.5000 0.5000 (multiplicity 2)



## ii
A plane-wave DFT calculation with PBE was carried out for a relaxed CdPNF2 crystal.

Computed properties:
DOS(E_F) = 0.530 states/eV/atom

Unit cell a=4.2287 b=4.2287 c=4.8069 alpha=90.00 beta=90.00 gamma=90.00
Space group P4/mmm (No. 123)
Asymmetric unit:
1 Cd 0.0000 0.0000 0.0000 (multiplicity 1)
2 P 0.5000 0.5000 0.5000 (multiplicity 1)
3 N 0.0000 0.0000 0.5000 (multiplicity 1)
4 F 0.0000 0.5000 0.0000 (multiplicity 2)



Stability ranking, top entry: i; the second entry is 806 meV per atom less favorable.